# 1
Here is a geometry-optimized Na2CuAgSe structure from the Alexandria database. Energies are from PBE.

```
Na2CuAgSe
1.0
5.333 0.000 0.000
0.000 5.333 0.000
0.000 0.000 4.804
Na Cu Ag Se
2 1 1 1
Cartesian
0.000 2.666 0.000
2.666 0.000 0.000
0.000 0.000 2.402
0.000 0.000 0.000
2.666 2.666 2.402
```

Output
The space group is P4/mmm. The value obtained for the calculated total energy is -2.403 eV per atom. The uncorrected formation energy comes out at 211.2 meV per atom. The value obtained for the density of states at the Fermi level is 0.2244 states/eV per atom.


# 2
Here is a geometry-optimized NaCuAg2Se2 structure from the Alexandria database. Energies are from PBE.

```
NaCuAg2Se2
1.0
7.367 0.000 0.000
0.000 8.123 0.000
0.000 0.000 4.712
Na Cu Ag Se
2 2 4 4
Cartesian
0.000 0.000 0.000
3.683 4.062 2.356
0.000 4.062 0.000
3.683 0.000 2.356
0.555 2.658 2.356
3.128 6.720 0.000
4.239 1.403 0.000
6.812 5.465 2.356
1.717 2.518 0.000
1.966 6.579 2.356
5.401 1.544 2.356
5.650 5.606 0.000
```

Output
The space group is Pnnm. The value obtained for the calculated total energy is -3.348 eV per atom. The uncorrected formation energy comes out at -333.3 meV per atom.


# 3
Here is a geometry-optimized NaCuAgSn structure from the Alexandria database. Energies are from PBE.

```
NaCuAgSn
1.0
0.000 3.374 3.374
3.374 0.000 3.374
3.374 3.374 0.000
Na Cu Ag Sn
1 1 1 1
Cartesian
0.000 0.000 0.000
1.687 1.687 1.687
5.061 5.061 5.061
3.374 3.374 3.374
```

Output
The space group is F-43m. The value obtained for the calculated total energy is -3.061 eV per atom. The value obtained for the density of states at the Fermi level is 0.4603 states/eV per atom.


# 4
Here is a geometry-optimized NaCuAgTe2 structure from the Alexandria database. Energies are from PBE.

```
NaCuAgTe2
1.0
7.362 -2.237 0.000
7.362 2.237 0.000
-3.812 0.000 7.623
Na Cu Ag Te
2 2 2 4
Cartesian
1.934 0.000 0.965
8.978 0.000 6.658
-1.052 0.000 2.680
11.964 0.000 4.943
2.768 0.000 4.193
8.144 0.000 3.430
-0.043 0.000 5.101
6.384 0.000 1.148
4.528 0.000 6.475
10.955 0.000 2.522
```

Output
The space group is C2/m. The value obtained for the calculated total energy is -3.207 eV per atom. The uncorrected formation energy comes out at -296.6 meV per atom. The value obtained for the density of states at the Fermi level is 0.1251 states/eV per atom.


# 5
Here is a geometry-optimized NaTlCuAg structure from the Alexandria database. Energies are from PBE.

```
NaTlCuAg
1.0
0.000 3.417 3.417
3.417 0.000 3.417
3.417 3.417 0.000
Na Tl Cu Ag
1 1 1 1
Cartesian
0.000 0.000 0.000
1.709 1.709 1.709
3.417 3.417 3.417
5.126 5.126 5.126
```

Output
The space group is F-43m. The value obtained for the calculated total energy is -2.512 eV per atom. The value obtained for the density of states at the Fermi level is 0.5366 states/eV per atom.


# 6
Here is a geometry-optimized NbCuAg2 structure from the Alexandria database. Energies are from PBE.

```
NbCuAg2
1.0
1.409 0.813 10.104
-1.409 0.813 10.104
0.000 -1.627 10.104
Nb Cu Ag
1 1 2
Cartesian
0.000 0.000 0.000
0.000 0.000 15.156
0.000 0.000 2.824
0.000 0.000 27.488
```

Output
The polymorph energy (0 for the lowest one) is 13 meV per atom. The space group is R-3m. The value obtained for the calculated total energy is -4.567 eV per atom. The value obtained for the density of states at the Fermi level is 0.4911 states/eV per atom.


# 7
Here is a geometry-optimized NbCuAg structure from the Alexandria database. Energies are from PBE.

```
NbCuAg
1.0
0.000 3.708 5.335
2.605 0.000 5.335
2.605 3.708 0.000
Nb Cu Ag
2 2 2
Cartesian
2.605 1.178 5.335
2.605 6.237 5.335
2.605 3.708 4.145
2.605 3.708 6.525
1.302 1.854 2.668
3.907 5.562 8.003
```

Output
The polymorph energy (0 for the lowest one) is 305 meV per atom. The space group is Fmmm. The value obtained for the calculated total energy is -5.207 eV per atom. The value obtained for the density of states at the Fermi level is 0.9819 states/eV per atom.


# 8
Here is a geometry-optimized NbCuAg3 structure from the Alexandria database. Energies are from PBE.

```
NbCuAg3
1.0
4.719 0.000 0.000
0.000 4.719 0.000
0.000 0.000 4.719
Nb Cu Ag
1 1 3
Cartesian
0.000 0.000 0.000
2.360 2.360 2.360
0.000 2.360 2.360
2.360 0.000 2.360
2.360 2.360 0.000
```

Output
The polymorph energy (0 for the lowest one) is 0 meV per atom. The space group is Pm-3m. The value obtained for the calculated total energy is -3.543 eV per atom. The value obtained for the density of states at the Fermi level is 0.6173 states/eV per atom.


# 9
Here is a geometry-optimized NbCuAg structure from the Alexandria database. Energies are from PBE.

```
NbCuAg
1.0
-1.406 1.406 6.084
1.406 -1.406 6.084
1.406 1.406 -6.084
Nb Cu Ag
1 1 1
Cartesian
0.000 0.000 0.000
0.000 0.000 7.970
0.000 0.000 3.801
```

Output
The polymorph energy (0 for the lowest one) is 0 meV per atom. The space group is I4mm. The value obtained for the calculated total energy is -5.512 eV per atom. The value obtained for the density of states at the Fermi level is 0.7324 states/eV per atom.


# 10
Here is a geometry-optimized NbCuAg2 structure from the Alexandria database. Energies are from PBE.

```
NbCuAg2
1.0
0.000 3.215 3.215
3.215 0.000 3.215
3.215 3.215 0.000
Nb Cu Ag
1 1 2
Cartesian
0.000 0.000 0.000
3.215 3.215 3.215
1.607 1.607 1.607
4.822 4.822 4.822
```

Output
The polymorph energy (0 for the lowest one) is 0 meV per atom. The space group is Fm-3m. The value obtained for the calculated total energy is -4.579 eV per atom. The value obtained for the density of states at the Fermi level is 0.3441 states/eV per atom.


# 11
Here is a geometry-optimized NbCu2Ag structure from the Alexandria database. Energies are from PBE.

```
NbCu2Ag
1.0
-3.499 3.499 2.708
3.499 -3.499 2.708
3.499 3.499 -2.708
Nb Cu Ag
2 4 2
Cartesian
0.000 0.000 0.000
0.000 3.499 1.354
1.749 -1.747 2.031
1.751 1.749 0.677
1.749 5.246 -0.677
1.747 1.749 3.385
3.499 0.000 1.354
0.000 0.000 2.708
```

Output
The polymorph energy (0 for the lowest one) is 585 meV per atom. The space group is I-42d. The value obtained for the calculated total energy is -4.587 eV per atom. The value obtained for the density of states at the Fermi level is 1.2760 states/eV per atom.


# 12
Here is a geometry-optimized NbCuAg3 structure from the Alexandria database. Energies are from PBE.

```
NbCuAg3
1.0
5.164 0.000 0.000
0.000 5.164 0.000
0.000 0.000 5.164
Nb Cu Ag
1 1 3
Cartesian
0.000 0.000 0.000
2.582 2.582 2.582
0.000 0.000 2.582
0.000 2.582 0.000
2.582 0.000 0.000
```

Output
The polymorph energy (0 for the lowest one) is 685 meV per atom. The space group is Pm-3m. The value obtained for the calculated total energy is -2.858 eV per atom. The value obtained for the density of states at the Fermi level is 0.7132 states/eV per atom.


# 13
Here is a geometry-optimized NbCu2Ag structure from the Alexandria database. Energies are from PBE.

```
NbCu2Ag
1.0
0.000 3.099 3.099
3.099 0.000 3.099
3.099 3.099 0.000
Nb Cu Ag
1 2 1
Cartesian
0.000 0.000 0.000
1.550 1.550 1.550
4.649 4.649 4.649
3.099 3.099 3.099
```

Output
The polymorph energy (0 for the lowest one) is 75 meV per atom. The space group is Fm-3m. The value obtained for the calculated total energy is -5.097 eV per atom. The value obtained for the density of states at the Fermi level is 0.3660 states/eV per atom.


# 14
Here is a geometry-optimized NbCu2Ag structure from the Alexandria database. Energies are from PBE.

```
NbCu2Ag
1.0
1.403 0.810 9.062
-1.403 0.810 9.062
0.000 -1.620 9.062
Nb Cu Ag
1 2 1
Cartesian
0.000 0.000 0.000
0.000 0.000 6.782
0.000 0.000 20.404
0.000 0.000 13.593
```

Output
The polymorph energy (0 for the lowest one) is 68 meV per atom. The space group is R-3m. The value obtained for the calculated total energy is -5.104 eV per atom. The value obtained for the density of states at the Fermi level is 0.4581 states/eV per atom.


# 15
Here is a geometry-optimized Nb3CuAg structure from the Alexandria database. Energies are from PBE.

```
Nb3CuAg
1.0
4.675 0.000 0.000
0.000 4.675 0.000
0.000 0.000 4.675
Nb Cu Ag
3 1 1
Cartesian
0.000 0.000 2.338
0.000 2.338 0.000
2.338 0.000 0.000
0.000 0.000 0.000
2.338 2.338 2.338
```

Output
The polymorph energy (0 for the lowest one) is 0 meV per atom. The space group is Pm-3m. The value obtained for the calculated total energy is -6.258 eV per atom. The value obtained for the density of states at the Fermi level is 1.5421 states/eV per atom.


# 16
Here is a geometry-optimized Nb2Cu2Ag structure from the Alexandria database. Energies are from PBE.

```
Nb2Cu2Ag
1.0
7.402 0.000 0.000
0.000 7.402 0.000
0.000 0.000 2.911
Nb Cu Ag
4 4 2
Cartesian
1.295 2.406 0.000
2.406 6.107 0.000
4.996 1.295 0.000
6.107 4.996 0.000
0.889 4.590 1.456
2.812 0.889 1.456
4.590 6.513 1.456
6.513 2.812 1.456
0.000 0.000 1.456
3.701 3.701 1.456
```

Output
The space group is P4/mbm. The value obtained for the calculated total energy is -6.009 eV per atom. The value obtained for the density of states at the Fermi level is 1.0960 states/eV per atom.


# 17
Here is a geometry-optimized Nb3CuAg structure from the Alexandria database. Energies are from PBE.

```
Nb3CuAg
1.0
4.913 0.000 0.000
0.000 4.913 0.000
0.000 0.000 4.913
Nb Cu Ag
3 1 1
Cartesian
0.000 0.000 2.456
0.000 2.456 0.000
2.456 0.000 0.000
2.456 2.456 2.456
0.000 0.000 0.000
```

Output
The polymorph energy (0 for the lowest one) is 858 meV per atom. The space group is Pm-3m. The value obtained for the calculated total energy is -5.400 eV per atom. The value obtained for the density of states at the Fermi level is 1.8116 states/eV per atom.


# 18
Here is a geometry-optimized NbCu3Ag structure from the Alexandria database. Energies are from PBE.

```
NbCu3Ag
1.0
4.607 0.000 0.000
0.000 4.607 0.000
0.000 0.000 4.607
Nb Cu Ag
1 3 1
Cartesian
0.000 0.000 0.000
0.000 2.303 2.303
2.303 0.000 2.303
2.303 2.303 0.000
2.303 2.303 2.303
```

Output
The polymorph energy (0 for the lowest one) is 0 meV per atom. The space group is Pm-3m. The value obtained for the calculated total energy is -3.777 eV per atom. The value obtained for the density of states at the Fermi level is 0.6378 states/eV per atom.


# 19
Here is a geometry-optimized NbCu2Ag structure from the Alexandria database. Energies are from PBE.

```
NbCu2Ag
1.0
2.771 0.000 0.000
0.000 2.771 0.000
0.000 0.000 7.893
Nb Cu Ag
1 2 1
Cartesian
0.000 0.000 0.000
1.385 1.385 1.985
1.385 1.385 5.908
0.000 0.000 3.947
```

Output
The polymorph energy (0 for the lowest one) is 0 meV per atom. The space group is P4/mmm. The value obtained for the calculated total energy is -5.172 eV per atom. The value obtained for the density of states at the Fermi level is 0.5718 states/eV per atom.


# 20
Here is a geometry-optimized NbCuAg2 structure from the Alexandria database. Energies are from PBE.

```
NbCuAg2
1.0
-3.683 3.683 2.660
3.683 -3.683 2.660
3.683 3.683 -2.660
Nb Cu Ag
2 2 4
Cartesian
0.000 0.000 0.000
0.000 3.683 1.330
3.683 0.000 1.330
0.000 0.000 2.660
1.842 2.068 -0.665
5.299 1.842 0.665
1.842 1.616 1.995
-1.616 1.842 3.325
```

Output
The polymorph energy (0 for the lowest one) is 356 meV per atom. The space group is I-42d. The value obtained for the calculated total energy is -4.223 eV per atom. The value obtained for the density of states at the Fermi level is 1.3067 states/eV per atom.